This record from Alexandria via LeMat-Bulk describes a geometry-optimized CaSbAsO2 structure. The functional is PBE-GGA.

a = 4.1810 Å, b = 4.1810 Å, c = 5.7298 Å
α = 90.00°, β = 90.00°, γ = 90.00°
Fractional coordinates of all 5 atoms:
1 Ca 0.0000 0.0000 0.0000
2 Sb 0.5000 0.5000 0.0000
3 As 0.0000 0.0000 0.5000
4 O 0.0000 0.5000 0.5000
5 O 0.5000 0.0000 0.5000

## Properties
Energy relative to the elements, uncorrected, eV/f.u.: -0.76
Symmetry: No. 123



This record from Alexandria via LeMat-Bulk describes a geometry-optimized CaScAs2O8 structure. The functional is PBE-GGA.

a = 6.6414 Å, b = 6.6414 Å, c = 6.6414 Å
α = 136.00°, β = 136.00°, γ = 63.98°
Fractional coordinates of all 12 atoms:
1 Ca 0.0000 0.0000 0.0000
2 Sc 0.2500 0.7500 0.5000
3 As 0.5000 0.5000 0.0000
4 As 0.7500 0.2500 0.5000
5 O 0.2731 0.6695 0.1112
6 O 0.3305 0.4417 0.6036
7 O 0.4188 0.0109 0.0798
8 O 0.5583 0.1619 0.8888
9 O 0.6610 0.5812 0.5921
10 O 0.8381 0.7269 0.3964
11 O 0.9311 0.3390 0.9202
12 O 0.9891 0.0689 0.4079

## Properties
Energy relative to the elements, uncorrected, eV/f.u.: -23.23
Symmetry: No. 82



This record from Alexandria via LeMat-Bulk describes a geometry-optimized CaScAsO5 structure. The functional is PBE-GGA.

a = 5.7653 Å, b = 5.7653 Å, c = 7.3340 Å
α = 103.53°, β = 103.53°, γ = 105.75°
Fractional coordinates of all 16 atoms:
1 Ca 0.1791 0.8209 0.7500
2 Ca 0.8209 0.1791 0.2500
3 Sc 0.5000 0.5000 0.0000
4 Sc 0.5000 0.5000 0.5000
5 As 0.1730 0.8270 0.2500
6 As 0.8270 0.1730 0.7500
7 O 0.1153 0.2303 0.9197
8 O 0.1706 0.6099 0.3780
9 O 0.2303 0.1153 0.4197
10 O 0.3901 0.8294 0.1220
11 O 0.4170 0.5830 0.7500
12 O 0.5830 0.4170 0.2500
13 O 0.6099 0.1706 0.8780
14 O 0.7697 0.8847 0.5803
15 O 0.8294 0.3901 0.6220
16 O 0.8847 0.7697 0.0803

## Properties
Energy relative to the elements, uncorrected, eV/f.u.: -20.07
Symmetry: No. 15



This record from Alexandria via LeMat-Bulk describes a geometry-optimized Ca2Sc4As3O2 structure. The functional is PBE-GGA.

a = 11.8203 Å, b = 11.8203 Å, c = 11.8203 Å
α = 159.09°, β = 159.09°, γ = 29.75°
Fractional coordinates of all 11 atoms:
1 Ca 0.1959 0.1959 0.0000
2 Ca 0.8041 0.8041 0.0000
3 Sc 0.0787 0.5787 0.5000
4 Sc 0.4213 0.9213 0.5000
5 Sc 0.5787 0.0787 0.5000
6 Sc 0.9213 0.4213 0.5000
7 As 0.3309 0.3309 0.0000
8 As 0.5000 0.5000 0.0000
9 As 0.6691 0.6691 0.0000
10 O 0.0894 0.0894 0.0000
11 O 0.9106 0.9106 0.0000

## Properties
Energy relative to the elements, uncorrected, eV/f.u.: -20.62
Symmetry: No. 139



Short version: calculated volume = 20.0 11.6 13.5 19.1 Å³/atom, in the order given.
Short version: DOS(E_F) = 4.21 6.74 0.00 4.06 states/eV/f.u., in the order given.
Short version: total moment = 0.00 1.08 0.00 0.00 μB per cell, in the order given.